This record from Alexandria describes a crystal of Mn2As2Pb relaxed with PBEsol. The functional is meta-GGA SCAN. Values from VASP.

Properties
Crystal system: tetragonal
DFT total energy in eV per cell: -150.96
Total moment in Bohr magnetons per cell: 0.0

```
&SYSTEM
  ibrav = 0, nat = 5, ntyp = 3
/
ATOMIC_SPECIES
Mn 54.94 Mn.upf
As 74.92 As.upf
Pb 207.20 Pb.upf
CELL_PARAMETERS angstrom
-1.869 1.869 5.657
1.869 -1.869 5.657
1.869 1.869 -5.657
ATOMIC_POSITIONS angstrom
Mn 0.000 0.000 1.334
Mn 0.000 0.000 9.981
As 1.869 0.000 2.829
As 0.000 1.869 2.829
Pb 0.000 0.000 5.657
```